Record 1
SrMnAs2Ru: optimized geometry, PBE-GGA. Values from VASP.

```
&SYSTEM
  ibrav = 0, nat = 5, ntyp = 4
/
ATOMIC_SPECIES
Sr 87.62 Sr.upf
Mn 54.94 Mn.upf
As 74.92 As.upf
Ru 101.07 Ru.upf
CELL_PARAMETERS angstrom
-1.478 0.069 3.700
1.305 -3.718 0.591
5.563 4.087 0.000
ATOMIC_POSITIONS angstrom
Sr 0.000 0.000 0.000
Mn 1.999 1.166 2.923
As 1.397 -1.212 2.727
As 3.992 1.649 1.564
Ru 3.390 -0.728 1.368
```

Computed properties:
As for the formation energy: -0.61 eV/atom. Its space-group type is I-4m2 (119).

Record 2
Th2MnAs4Ru3: optimized geometry, PBE-GGA. Values from VASP.

```
&SYSTEM
  ibrav = 0, nat = 10, ntyp = 4
/
ATOMIC_SPECIES
Th 232.04 Th.upf
Mn 54.94 Mn.upf
As 74.92 As.upf
Ru 101.07 Ru.upf
CELL_PARAMETERS angstrom
-2.370 3.255 1.420
-1.615 -2.508 3.055
7.464 2.734 6.190
ATOMIC_POSITIONS angstrom
Th 0.639 2.296 2.223
Th 4.832 0.811 6.204
Mn 1.739 1.740 5.332
As -1.992 0.374 2.237
As 0.000 0.000 0.000
As 3.564 3.367 4.649
As 1.907 -0.260 3.779
Ru 3.732 1.367 3.095
Ru 5.380 4.032 6.155
Ru 0.091 -0.925 2.273
```

Computed properties:
As for the formation energy: -0.68 eV/atom. Its space-group type is P-4m2 (115).

Record 3
TiMnAsRu: optimized geometry, PBE-GGA. Values from VASP.

```
&SYSTEM
  ibrav = 0, nat = 4, ntyp = 4
/
ATOMIC_SPECIES
Ru 101.07 Ru.upf
As 74.92 As.upf
Mn 54.94 Mn.upf
Ti 47.87 Ti.upf
CELL_PARAMETERS angstrom
4.219 0.000 0.000
2.110 3.654 0.000
2.110 1.218 3.445
ATOMIC_POSITIONS angstrom
Ru 0.000 0.000 0.000
As 6.329 3.654 2.584
Mn 4.219 2.436 1.722
Ti 2.110 1.218 0.861
```

Computed properties:
As for the formation energy: -0.41 eV/atom. Its space-group type is F-43m (216).

Record 4
MnVAsRu: optimized geometry, PBE-GGA. Values from VASP.

```
&SYSTEM
  ibrav = 0, nat = 4, ntyp = 4
/
ATOMIC_SPECIES
Ru 101.07 Ru.upf
As 74.92 As.upf
Mn 54.94 Mn.upf
V 50.94 V.upf
CELL_PARAMETERS angstrom
4.186 0.000 0.000
2.093 3.625 0.000
2.093 1.208 3.418
ATOMIC_POSITIONS angstrom
Ru 2.093 1.208 0.854
As 4.186 2.417 1.709
Mn 6.279 3.625 2.563
V 0.000 0.000 0.000
```

Computed properties:
As for the formation energy: -0.13 eV/atom. Its space-group type is F-43m (216).

Record 5
ZrMnAs2Ru: optimized geometry, PBE-GGA. Values from VASP.

```
&SYSTEM
  ibrav = 0, nat = 5, ntyp = 4
/
ATOMIC_SPECIES
Ru 101.07 Ru.upf
As 74.92 As.upf
Mn 54.94 Mn.upf
Zr 91.22 Zr.upf
CELL_PARAMETERS angstrom
5.059 0.000 0.000
0.000 5.059 0.000
0.000 0.000 4.776
ATOMIC_POSITIONS angstrom
Ru 2.529 2.529 2.388
As 0.000 2.529 0.000
As 2.529 0.000 0.000
Mn 0.000 0.000 2.388
Zr 0.000 0.000 0.000
```

Computed properties:
As for the formation energy: 1.31 eV/atom. Its space-group type is P4/mmm (123).

Record 6
MnAsS3: optimized geometry, PBE-GGA. Values from VASP.

```
&SYSTEM
  ibrav = 0, nat = 5, ntyp = 3
/
ATOMIC_SPECIES
Mn 54.94 Mn.upf
As 74.92 As.upf
S 32.06 S.upf
CELL_PARAMETERS angstrom
-0.817 -1.211 -3.103
-5.439 -1.332 1.952
-1.577 5.454 -1.713
ATOMIC_POSITIONS angstrom
Mn -3.362 2.318 -0.019
As -5.775 -1.810 0.332
S -5.239 2.123 -1.344
S -2.198 4.364 -1.124
S -2.687 0.624 -1.431
```

Computed properties:
Its space-group type is Amm2 (38). Its raw formation energy is -16.7 kJ/mol of atoms.